[1]
DFT (PBE) results for an optimized crystal structure of TaSnBiOs2.

Results
Spin magnetization, μB per cell: 0.0
Fermi-level density of states, states/eV/f.u.: 3.69
Space-group type: No. 123
ΔE_f, eV per formula unit: 12.28

abc: 4.8153 5.3564 4.8153
angles: 90.00 90.00 90.00
Closest atoms and distances in Å follow each position.
Atoms (fractional coordinates):
1 Sn 0.0000 0.0000 0.0000  4 Os 2.41, 2 Bi 2.68
2 Bi 0.0000 0.5000 0.0000  2 Sn 2.68
3 Os 0.0000 0.0000 0.5000  2 Sn 2.41
4 Os 0.5000 0.0000 0.0000  2 Sn 2.41
5 Ta 0.5000 0.5000 0.5000  4 Bi 3.40, 8 Os 3.60

=====

[2]
DFT (PBE) results for an optimized crystal structure of SrBiOs2.

Results
Spin magnetization, μB per cell: 0.0
Fermi-level density of states, states/eV/f.u.: 5.32
Space-group type: No. 122
ΔE_f, eV per formula unit: 5.45

abc: 7.9602 7.9602 6.3897
angles: 51.47 51.47 90.00
Closest atoms and distances in Å follow each position.
Atoms (fractional coordinates):
1 Bi 0.7500 0.2500 0.5000  4 Os 2.66
2 Bi 0.0000 0.0000 0.0000  4 Os 2.66
3 Os 0.8750 0.9256 0.7500  2 Bi 2.66
4 Os 0.3750 0.3244 0.7500  2 Bi 2.66
5 Os 0.6756 0.1250 0.2500  2 Bi 2.66
6 Os 0.0744 0.6250 0.2500  2 Bi 2.66
7 Sr 0.2500 0.7500 0.5000  2 Bi 3.02, 4 Os 3.20
8 Sr 0.5000 0.5000 0.0000  2 Bi 3.02, 4 Os 3.20

=====

Look up the spin magnetization of the first one.
0.0 μB per cell

=====

Look up the Fermi-level density of states of the first one.
3.69 states/eV/f.u.

=====

Copy entry 1 word for word.
DFT (PBE) results for an optimized crystal structure of TaSnBiOs2.

Results
Spin magnetization, μB per cell: 0.0
Fermi-level density of states, states/eV/f.u.: 3.69
Space-group type: No. 123
ΔE_f, eV per formula unit: 12.28

abc: 4.8153 5.3564 4.8153
angles: 90.00 90.00 90.00
Closest atoms and distances in Å follow each position.
Atoms (fractional coordinates):
1 Sn 0.0000 0.0000 0.0000  4 Os 2.41, 2 Bi 2.68
2 Bi 0.0000 0.5000 0.0000  2 Sn 2.68
3 Os 0.0000 0.0000 0.5000  2 Sn 2.41
4 Os 0.5000 0.0000 0.0000  2 Sn 2.41
5 Ta 0.5000 0.5000 0.5000  4 Bi 3.40, 8 Os 3.60

=====

Which formula does entry 2 have?
SrBiOs2